Entry from the Alexandria database: a PBEsol-optimized structure of Ti6CCl14 (SCAN).

Cell: 13.3419 12.1524 10.8533 Å, 90.00 90.00 90.00°
Space group Cmce (No. 64)
Symmetry-distinct sites (fractional):
1 Ti 0.0000 0.1418 0.1021 x8
2 Ti 0.1137 0.0665 0.8836 x16
3 C 0.0000 0.0000 0.0000 x4
4 Cl 0.0000 0.1519 0.7375 x8
5 Cl 0.1224 0.0893 0.2461 x16
6 Cl 0.1232 0.2367 0.9896 x16
7 Cl 0.2486 0.0000 0.0000 x8
8 Cl 0.2500 0.1475 0.7500 x8

ΔE_f (raw) in eV per atom: -1.795
Total energy in eV/cell: -1022.7

Entry from the Alexandria database: a PBEsol-optimized structure of ScB4Ir3 (SCAN).

Cell: 7.5323 7.5323 3.4630 Å, 90.00 90.00 120.00°
Space group P6_3/m (No. 176)
Symmetry-distinct sites (fractional):
1 Sc 0.3333 0.6667 0.2500 x2
2 B 0.0000 0.0000 0.0000 x2
3 B 0.0496 0.4514 0.7500 x6
4 Ir 0.0749 0.7478 0.7500 x6

Total energy in eV/cell: -525.4
DOS at the Fermi energy in states/eV/cell: 1.9

Entry from the Alexandria database: a PBEsol-optimized structure of ZrP2OsCl (SCAN).

Cell: 4.5304 4.5304 4.6860 Å, 90.00 90.00 90.00°
Space group P4/mmm (No. 123)
Symmetry-distinct sites (fractional):
1 Zr 0.0000 0.0000 0.0000 x1
2 P 0.0000 0.5000 0.5000 x2
3 Os 0.5000 0.5000 0.5000 x1
4 Cl 0.5000 0.5000 0.0000 x1

ΔE_f (raw) in eV per atom: 0.453
Total energy in eV/cell: -129.1
DOS at the Fermi energy in states/eV/cell: 3.9

Entry from the Alexandria database: a PBEsol-optimized structure of Be2ReBi2 (SCAN).

Cell: 6.7419 6.7419 3.7192 Å, 90.00 90.00 90.00°
Space group P4/mbm (No. 127)
Symmetry-distinct sites (fractional):
1 Be 0.1261 0.3739 0.0000 x4
2 Re 0.0000 0.0000 0.0000 x2
3 Bi 0.1802 0.6802 0.5000 x4

Total energy in eV/cell: -464.8
DOS at the Fermi energy in states/eV/cell: 6.4

Entry from the Alexandria database: a PBEsol-optimized structure of PdSe2Cl6 (SCAN).

Cell: 16.9734 8.2628 7.2197 Å, 90.00 100.28 90.00°
Space group C2/c (No. 15)
Symmetry-distinct sites (fractional):
1 Pd 0.0000 0.1656 0.2500 x4
2 Se 0.1016 0.1670 0.0586 x8
3 Cl 0.0765 0.1687 0.5462 x8
4 Cl 0.1109 0.4329 0.0398 x8
5 Cl 0.2156 0.1199 0.2402 x8

ΔE_f (raw) in eV per atom: -0.439
Total energy in eV/cell: -499.0
DOS at the Fermi energy in states/eV/cell: 0.0

Entry from the Alexandria database: a PBEsol-optimized structure of SbPbAu2 (SCAN).

Cell: 3.4592 3.4592 7.5023 Å, 90.00 90.00 90.00°
Space group P4mm (No. 99)
Symmetry-distinct sites (fractional):
1 Sb 0.0000 0.0000 0.0000 x1
2 Pb 0.5000 0.5000 0.6464 x1
3 Au 0.0000 0.0000 0.4039 x1
4 Au 0.5000 0.5000 0.2054 x1

ΔE_f (raw) in eV per atom: 0.047
Total energy in eV/cell: -251.2
DOS at the Fermi energy in states/eV/cell: 1.7

Entry from the Alexandria database: a PBEsol-optimized structure of BaMo2N4 (SCAN).

Cell: 10.9400 10.9400 10.9400 Å, 90.00 90.00 90.00°
Space group Pa-3 (No. 205)
Symmetry-distinct sites (fractional):
1 Ba 0.0000 0.0000 0.0000 x4
2 Ba 0.1286 0.6286 0.8714 x8
3 Mo 0.0999 0.1986 0.3476 x24
4 N 0.0127 0.0705 0.2632 x24
5 N 0.1247 0.1561 0.7562 x24

ΔE_f (raw) in eV per atom: -0.657
Total energy in eV/cell: -1813.0
DOS at the Fermi energy in states/eV/cell: 37.1

Entry from the Alexandria database: a PBEsol-optimized structure of SrHfN2O (SCAN).

Cell: 4.1951 4.1951 4.1890 Å, 90.00 90.00 90.00°
Space group P4/mmm (No. 123)
Symmetry-distinct sites (fractional):
1 Sr 0.0000 0.0000 0.0000 x1
2 Hf 0.5000 0.5000 0.5000 x1
3 N 0.0000 0.5000 0.0000 x2
4 O 0.0000 0.0000 0.5000 x1

ΔE_f (raw) in eV per atom: 0.936
Total energy in eV/cell: -105.1
DOS at the Fermi energy in states/eV/cell: 1.8

total energy of number 8 (SrHfN2O)?
-105.1 eV/cell

The lowest total energy belongs to which entry?
BaMo2N4

The highest total energy belongs to which entry?
SrHfN2O

What did the fourth record say?
Entry from the Alexandria database: a PBEsol-optimized structure of Be2ReBi2 (SCAN).

Cell: 6.7419 6.7419 3.7192 Å, 90.00 90.00 90.00°
Space group P4/mbm (No. 127)
Symmetry-distinct sites (fractional):
1 Be 0.1261 0.3739 0.0000 x4
2 Re 0.0000 0.0000 0.0000 x2
3 Bi 0.1802 0.6802 0.5000 x4

Total energy in eV/cell: -464.8
DOS at the Fermi energy in states/eV/cell: 6.4